Entry from the Alexandria database: a relaxed structure of CsK2Cr2O7 (PBE+U).

Results
space group: No. 155
uncorrected energy: -5.916 eV/atom
M_tot: 1.0 μB/f.u.

Lattice parameters (Å, degrees): 6.7086 6.7086 8.7834 67.55 67.55 60.00
Fractional coordinates of all 12 atoms:
O: 0.0000 0.0000 0.0000
K: 0.2235 0.2235 0.3295
O: 0.8984 0.6662 0.3003
Cr: 0.0765 0.0765 0.7704
O: 0.1016 0.8649 0.6997
Cr: 0.9235 0.9235 0.2296
Cs: 0.5000 0.5000 0.5000
O: 0.8649 0.3338 0.6997
O: 0.1351 0.8984 0.3003
K: 0.7765 0.7765 0.6705
O: 0.3338 0.1016 0.6997
O: 0.6662 0.1351 0.3003